# DyMnCo

An optimized crystal structure of DyMnCo (PBE, Alexandria via LeMat-Bulk).

Computed properties:
**DFT formation energy**: 0.01 eV per atom
**Space group**: P-6m2 (187)
**Polymorph energy (0 for the lowest one)**: 0.096 eV per atom

Structure (extended XYZ):
```
3
Lattice="3.8652 0.0000 0.0000 -1.9326 3.3473 0.0000 0.0000 0.0000 4.1429" Properties=species:S:1:pos:R:3 pbc="T T T"
Dy 0.0000 0.0000 0.0000
Mn 1.9326 1.1158 2.0714
Co 0.0000 2.2316 2.0714
```